Density functional theory data (PBE) for an optimized crystal structure of KLiTl5.

Its energy above the most stable polymorph in this dataset is 24.9 meV per atom. The calculation puts the raw total energy at -15.158 eV for the cell shown. For the density of states at the Fermi level, the calculation gives 0.3596 states/eV per atom. The density comes out at 8.497 g/cm3. The calculation puts the spin magnetization at 0.000 μB/atom.

Lattice parameters (Å, degrees): 4.957 4.957 8.493 90.00 90.00 90.00
Element x y z (fractional)
K: 0.000 0.000 0.000
Li: 0.000 0.000 0.500
Tl: 0.500 0.000 0.690
Tl: 0.000 0.500 0.690
Tl: 0.500 0.500 0.000
Tl: 0.000 0.500 0.310
Tl: 0.500 0.000 0.310